(1)
Material: ScCr2Au
Method: DFT, PBE-GGA
State: relaxed

a = 2.6920 Å, b = 2.6920 Å, c = 8.5874 Å
α = 90.00°, β = 90.00°, γ = 90.00°
Fractional positions:
1 Sc 0.0000 0.0000 0.0000
2 Cr 0.5000 0.5000 0.2584
3 Cr 0.5000 0.5000 0.7416
4 Au 0.0000 0.0000 0.5000

## Properties
The crystal system is tetragonal. The formation energy is 44 kJ/mol of atoms. Its space-group type is P4/mmm (123). For the energy relative to the lowest polymorph listed for this composition, the calculation gives 500.0 meV per atom.


(2)
Material: Ba8Ag2N
Method: DFT, PBE-GGA
State: relaxed

a = 10.0206 Å, b = 10.0206 Å, c = 7.7933 Å
α = 96.49°, β = 96.49°, γ = 40.74°
Fractional positions:
1 Ba 0.0473 0.0473 0.2618
2 Ba 0.2026 0.2026 0.8433
3 Ba 0.3721 0.3721 0.5958
4 Ba 0.4260 0.4260 0.1835
5 Ba 0.5740 0.5740 0.8165
6 Ba 0.6279 0.6279 0.4042
7 Ba 0.7974 0.7974 0.1567
8 Ba 0.9527 0.9527 0.7382
9 Ag 0.2336 0.2336 0.2765
10 Ag 0.7664 0.7664 0.7235
11 N 0.5000 0.5000 0.5000

## Properties
The calculation puts the energy relative to the elements, uncorrected at -0.01 eV per atom. The crystal system is monoclinic. Its space-group type is C2/m (12).


(3)
Material: BaTl2PdAu
Method: DFT, PBE-GGA
State: relaxed

a = 5.2814 Å, b = 5.2814 Å, c = 6.0439 Å
α = 90.00°, β = 90.00°, γ = 90.00°
Fractional positions:
1 Ba 0.0000 0.0000 0.0000
2 Tl 0.0000 0.5000 0.5000
3 Tl 0.5000 0.0000 0.5000
4 Pd 0.0000 0.0000 0.5000
5 Au 0.5000 0.5000 0.0000

## Properties
The crystal system is tetragonal. The formation energy is -21 kJ/mol of atoms. Its space-group type is P4/mmm (123). For the energy relative to the lowest polymorph listed for this composition, the calculation gives 45.9 meV per atom.


Number 2 is which compound? Ba8Ag2N